This record from Alexandria via LeMat-Bulk describes La8ZnRh3Br4 after structural relaxation. The functional is PBE-GGA.

```
data_La8ZnRh3Br4
_chemical_formula_sum 'La24 Zn3 Rh9 Br12'
_cell_length_a 8.4976
_cell_length_b 8.4976
_cell_length_c 23.6494
_cell_angle_alpha 90.00
_cell_angle_beta 90.00
_cell_angle_gamma 120.00
_space_group_name_H-M_alt 'R -3 m'
_space_group_IT_number 166
_space_group_name_Hall '-R 3 2"'
loop_
_atom_site_label
_atom_site_fract_x
_atom_site_fract_y
_atom_site_fract_z
_atom_site_occupancy
La1 0.0000 0.0000 0.2340 1
La2 0.0141 0.5071 0.7674 1
Zn1 0.0000 0.0000 0.5000 1
Rh1 0.0000 0.5000 0.5000 1
Br1 0.0000 0.0000 0.0000 1
Br2 0.0000 0.5000 0.0000 1
```

Summary:
**Fermi-level density of states**: 0.777 states/eV/atom
**Formation energy (no corrections)**: -16.8 eV per formula unit